Record 1
A geometry-optimized Rb2ReSe3 structure. Source: OQMD, functional PBE.

The structure in POSCAR format:
```
Rb2ReSe3
1.0
-2.924 6.153 -3.414
-5.578 -2.647 -4.466
-4.464 0.732 5.142
Rb Se Re
4 6 2
Cartesian
-5.864 5.351 -3.572
-3.148 4.231 -1.055
-7.102 -1.113 0.834
-9.818 0.007 -1.683
-6.317 -1.214 -3.031
-5.417 1.679 -0.381
-6.649 5.452 0.293
-7.549 2.558 -2.357
-5.317 2.192 -4.928
-3.185 1.313 -2.952
-5.641 1.027 -2.763
-7.325 3.211 0.025
```

Raw total energy ... -4.728 eV per atom
Space group ... Cmcm, No. 63
Magnetic moment ... 0.006 μB/atom
ΔE to the lowest computed polymorph ... 36 meV/atom


Record 2
A geometry-optimized RbCu3SnTe4 structure. Source: OQMD, functional PBE.

The structure in POSCAR format:
```
RbCu3SnTe4
1.0
6.787 0.000 0.000
0.000 6.787 0.000
0.000 0.000 6.787
Te Cu Sn Rb
4 3 1 1
Cartesian
4.940 4.940 1.847
4.940 1.847 4.940
1.847 4.940 4.940
1.847 1.847 1.847
3.394 3.394 0.000
3.394 0.000 3.394
0.000 3.394 3.394
3.394 3.394 3.394
0.000 0.000 0.000
```

Raw total energy ... -3.191 eV per atom
Space group ... P-43m, No. 215
ΔE to the lowest computed polymorph ... 249 meV/atom


Record 3
A geometry-optimized NpZnB structure. Source: OQMD, functional PBE.

The structure in POSCAR format:
```
NpZnB
1.0
-0.835 -3.922 1.447
-3.830 -1.747 -0.669
-0.416 -3.239 -2.740
Np Zn B
1 1 1
Cartesian
-3.811 -6.681 -1.472
0.000 0.000 0.000
-1.270 -2.227 -0.491
```

Raw total energy ... -5.914 eV per atom
Space group ... F-43m, No. 216
Magnetic moment ... 1.319 μB/atom
ΔE to the lowest computed polymorph ... 677 meV/atom


Record 4
A geometry-optimized Tc2MoAs2 structure. Source: OQMD, functional PBE.

The structure in POSCAR format:
```
Tc2MoAs2
1.0
6.059 -2.011 -0.993
4.840 -1.294 4.079
-6.254 -0.850 -1.382
Mo As Tc
1 2 2
Cartesian
0.000 0.000 0.000
2.627 -2.256 -0.416
2.018 -1.898 2.120
4.308 -1.306 1.220
6.591 -1.998 1.866
```

Raw total energy ... -7.654 eV per atom
Space group ... I4/mmm, No. 139
Magnetic moment ... 0.215 μB/atom
ΔE to the lowest computed polymorph ... 179 meV/atom


Record 5
A geometry-optimized Na4PtO4 structure. Source: OQMD, functional PBE.

The structure in POSCAR format:
```
Na4PtO4
1.0
0.174 2.561 -4.193
-3.761 3.166 0.081
3.665 2.861 2.970
O Na Pt
4 4 1
Cartesian
-2.445 4.342 -0.745
2.524 4.246 -0.398
0.433 4.567 1.873
-0.355 4.021 -3.016
-1.325 5.826 -2.044
0.926 6.014 0.002
-0.848 2.574 -1.145
1.403 2.762 0.901
0.000 0.000 0.000
```

Raw total energy ... -4.589 eV per atom
Space group ... C2/m, No. 12
Magnetic moment ... 0.222 μB/atom


Record 6
A geometry-optimized SmCdNi structure. Source: OQMD, functional PBE.

The structure in POSCAR format:
```
SmCdNi
1.0
0.000 3.249 3.249
3.249 0.000 3.249
3.249 3.249 0.000
Cd Ni Sm
1 1 1
Cartesian
1.624 1.624 1.624
0.000 0.000 0.000
4.873 4.873 4.873
```

Raw total energy ... -3.947 eV per atom
Energy relative to the elements ... -222 meV per atom
Space group ... F-43m, No. 216
Magnetic moment ... 0.001 μB/atom


Record 7
A geometry-optimized Pm4C2Br5 structure. Source: OQMD, functional PBE.

The structure in POSCAR format:
```
Pm4C2Br5
1.0
9.698 -1.946 0.000
9.698 1.946 0.000
-2.067 0.000 7.978
C Br Pm
2 5 4
Cartesian
6.952 0.000 7.796
10.377 0.000 0.182
1.534 0.000 6.642
8.664 0.000 3.989
2.340 0.000 2.936
15.795 0.000 1.336
14.989 0.000 5.041
-1.652 0.000 6.375
12.525 0.000 0.800
4.803 0.000 7.178
-0.415 0.000 1.603
```

Raw total energy ... -5.532 eV per atom
Space group ... C2/m, No. 12
Magnetic moment ... 0.001 μB/atom


Record 8
A geometry-optimized RbTmNi structure. Source: OQMD, functional PBE.

The structure in POSCAR format:
```
RbTmNi
1.0
4.519 1.307 1.701
0.409 3.331 3.709
1.489 -1.482 4.540
Tm Rb Ni
1 1 1
Cartesian
0.000 0.000 0.000
4.812 2.367 7.462
1.604 0.789 2.487
```

Raw total energy ... -2.613 eV per atom
Space group ... F-43m, No. 216
Magnetic moment ... 0.000 μB/atom


Record 9
A geometry-optimized HfTaH2Os structure. Source: OQMD, functional PBE.

The structure in POSCAR format:
```
HfTaH2Os
1.0
-1.543 1.543 6.125
1.543 -1.543 6.125
1.543 1.543 -6.125
Hf H Os Ta
1 2 1 1
Cartesian
0.000 0.000 4.439
1.544 0.000 3.001
0.000 1.544 3.001
0.000 0.000 0.087
0.000 0.000 7.849
```

Raw total energy ... -8.366 eV per atom
Space group ... I4mm, No. 107
Magnetic moment ... 0.002 μB/atom


Record 10
A geometry-optimized BeNiHgBi structure. Source: OQMD, functional PBE.

The structure in POSCAR format:
```
BeNiHgBi
1.0
-0.964 2.899 3.647
-4.286 -0.114 2.060
-0.484 -1.776 4.387
Bi Hg Ni Be
1 1 1 1
Cartesian
0.000 0.000 0.000
-1.434 0.252 2.523
-4.301 0.757 7.570
-2.867 0.505 5.047
```

Raw total energy ... -2.720 eV per atom
Space group ... F-43m, No. 216
Magnetic moment ... 0.002 μB/atom
ΔE to the lowest computed polymorph ... 173 meV/atom


Record 11
A geometry-optimized KMo3N5 structure. Source: OQMD, functional PBE.

The structure in POSCAR format:
```
KMo3N5
1.0
-2.751 4.174 1.246
-1.973 -3.526 -3.196
-2.385 -3.000 4.782
N Mo K
5 3 1
Cartesian
-3.144 0.787 1.073
-4.225 -0.572 3.240
-1.193 -1.500 2.391
-2.885 -1.780 -0.407
-3.965 -3.139 1.759
-3.555 -1.176 1.416
-2.179 -3.263 0.793
-2.568 0.587 3.014
0.000 0.000 0.000
```

Raw total energy ... -7.838 eV per atom
Space group ... P6/mmm, No. 191
Magnetic moment ... 0.001 μB/atom


Record 12
A geometry-optimized NbHg structure. Source: OQMD, functional PBE.

The structure in POSCAR format:
```
NbHg
1.0
-2.497 -0.258 1.649
0.025 -0.958 -2.847
1.488 -4.547 1.542
Nb Hg
1 1
Cartesian
-0.444 -1.861 -0.962
-0.540 -3.901 1.308
```

Raw total energy ... -4.844 eV per atom
Energy relative to the elements ... 352 meV per atom
Space group ... P-6m2, No. 187
Magnetic moment ... 0.004 μB/atom


Record 13
A geometry-optimized TbErNb structure. Source: OQMD, functional PBE.

The structure in POSCAR format:
```
TbErNb
1.0
2.181 -1.655 4.240
1.488 3.293 3.524
-2.474 0.289 4.389
Tb Er Nb
1 1 1
Cartesian
0.597 0.963 6.076
0.000 0.000 0.000
0.896 1.445 9.114
```

Raw total energy ... -5.635 eV per atom
Energy relative to the elements ... 794 meV per atom
Space group ... F-43m, No. 216
Magnetic moment ... 0.685 μB/atom
ΔE to the lowest computed polymorph ... 0 meV/atom


Record 14
A geometry-optimized Zr4Sc2Al3N3 structure. Source: OQMD, functional PBE.

The structure in POSCAR format:
```
Zr4Sc2Al3N3
1.0
-3.440 4.462 0.119
-5.114 -0.448 2.324
8.274 2.508 11.872
Zr N Al Sc
8 6 6 4
Cartesian
0.101 6.265 12.820
5.800 3.585 11.195
4.037 2.336 7.060
1.385 1.516 5.625
-4.317 4.186 7.254
-0.381 0.258 1.495
-1.665 5.006 8.690
-6.080 2.938 3.119
-2.557 -0.224 1.162
0.152 1.713 7.502
2.417 3.485 5.996
-0.432 4.810 6.813
-3.155 2.892 0.473
-5.399 1.123 1.969
3.219 2.803 9.899
2.629 5.943 9.203
0.356 4.149 10.722
-0.636 2.374 3.593
-3.499 3.719 4.416
-2.909 0.580 5.112
-1.450 2.857 6.456
-3.245 1.598 2.288
2.965 4.924 12.027
1.169 3.666 7.859
```

Raw total energy ... -8.027 eV per atom
Space group ... C2/c, No. 15
Magnetic moment ... 0.000 μB/atom


Record 15
A geometry-optimized ZnFeCuSn structure. Source: OQMD, functional PBE.

The structure in POSCAR format:
```
ZnFeCuSn
1.0
-2.139 -2.937 2.334
-0.020 0.265 4.310
-3.619 1.112 2.078
Fe Sn Zn Cu
1 1 1 1
Cartesian
-4.334 -1.170 6.541
0.000 0.000 0.000
-2.889 -0.780 4.361
-1.445 -0.390 2.180
```

Raw total energy ... -4.158 eV per atom
Space group ... F-43m, No. 216
Magnetic moment ... 0.430 μB/atom
ΔE to the lowest computed polymorph ... 0 meV/atom


Record 16
A geometry-optimized NaPmMg structure. Source: OQMD, functional PBE.

The structure in POSCAR format:
```
NaPmMg
1.0
2.631 -4.500 1.127
-2.062 -3.500 3.455
-1.861 -4.684 -1.741
Mg Pm Na
1 1 1
Cartesian
-0.646 -6.342 1.420
-0.323 -3.171 0.710
0.000 0.000 0.000
```

Raw total energy ... -1.851 eV per atom
Space group ... F-43m, No. 216
Magnetic moment ... 0.124 μB/atom
ΔE to the lowest computed polymorph ... 199 meV/atom


Record 17
A geometry-optimized CsMgMo structure. Source: OQMD, functional PBE.

The structure in POSCAR format:
```
CsMgMo
1.0
-0.677 -5.804 1.462
-3.580 -3.541 -3.305
2.394 -4.284 -3.492
Cs Mg Mo
1 1 1
Cartesian
0.000 0.000 0.000
-0.466 -3.407 -1.334
-1.397 -10.222 -4.001
```

Raw total energy ... -2.361 eV per atom
Space group ... F-43m, No. 216
Magnetic moment ... 1.715 μB/atom
ΔE to the lowest computed polymorph ... 326 meV/atom


Record 18
A geometry-optimized SrPuMo structure. Source: OQMD, functional PBE.

The structure in POSCAR format:
```
SrPuMo
1.0
0.000 3.537 3.537
3.537 0.000 3.537
3.537 3.537 0.000
Sr Mo Pu
1 1 1
Cartesian
5.306 5.306 5.306
0.000 0.000 0.000
1.769 1.769 1.769
```

Raw total energy ... -7.650 eV per atom
Space group ... F-43m, No. 216
Magnetic moment ... 1.867 μB/atom
ΔE to the lowest computed polymorph ... 0 meV/atom


Record 19
A geometry-optimized KZrAuSe3 structure. Source: OQMD, functional PBE.

The structure in POSCAR format:
```
KZrAuSe3
1.0
14.971 0.000 0.000
0.000 3.987 0.000
0.000 0.000 10.666
Zr Se Au K
4 12 4 4
Cartesian
7.684 2.990 8.797
7.287 0.997 1.869
0.199 2.990 7.202
14.772 0.997 3.464
9.070 0.997 3.847
8.812 2.990 0.702
1.585 0.997 1.485
6.159 0.997 9.963
9.513 0.997 8.219
13.386 2.990 9.180
2.027 0.997 7.780
12.944 2.990 2.886
1.326 2.990 4.631
5.458 2.990 2.447
5.901 2.990 6.818
13.645 0.997 6.035
14.771 2.990 1.056
7.686 0.997 6.389
7.285 2.990 4.276
0.201 0.997 9.609
11.491 0.997 0.510
4.005 0.997 4.823
3.480 2.990 10.155
10.966 2.990 5.843
```

Raw total energy ... -4.937 eV per atom
Space group ... Pnma, No. 62
Magnetic moment ... 0.000 μB/atom


Record 20
A geometry-optimized DyHo2In3Ir2Pd structure. Source: OQMD, functional PBE.

The structure in POSCAR format:
```
DyHo2In3Ir2Pd
1.0
-0.417 -0.112 3.837
4.572 -6.071 0.318
2.918 7.005 0.522
Dy Ho Ir In Pd
1 2 2 3 1
Cartesian
3.076 0.384 0.345
5.613 3.425 0.710
6.291 -1.940 0.626
3.815 -1.774 2.305
3.262 2.597 2.373
5.335 0.635 2.541
3.898 5.366 2.523
5.121 -4.302 2.373
7.487 0.934 0.840
```

Raw total energy ... -5.740 eV per atom
Space group ... Amm2, No. 38
Magnetic moment ... 0.000 μB/atom